{
  "formula": "AcTbPuMg",
  "functional": "PBE",
  "state": "relaxed",
  "crystal_system": "cubic",
  "energy_ev_per_atom": -5.976,
  "magmom_total_mub_per_fu": 6.25,
  "formation_energy_kcal_per_mol_atoms": 4.4,
  "vol_a3_per_fu": 128.8,
  "cell": [[0.000, 4.009, 4.009], [4.009, 0.000, 4.009], [4.009, 4.009, 0.000]],
  "species": ["Ac", "Tb", "Pu", "Mg"],
  "fractional_positions": [[0.000, 0.000, 0.000], [0.500, 0.500, 0.500], [0.250, 0.250, 0.250], [0.750, 0.750, 0.750]]
}


{
  "formula": "Ac2PuMgTe5",
  "functional": "PBE",
  "state": "relaxed",
  "crystal_system": "orthorhombic",
  "raw_formation_energy_mev_per_atom": -1291,
  "energy_ev_per_atom": -5.719,
  "magmom_total_mub_per_fu": 5.90,
  "vol_a3_per_fu": 305.9,
  "cell": [[2.301, -9.794, 0.000], [2.301, 9.794, 0.000], [0.000, 0.000, 13.575]],
  "species": ["Ac", "Ac", "Ac", "Ac", "Pu", "Pu", "Mg", "Mg", "Te", "Te", "Te", "Te", "Te", "Te", "Te", "Te", "Te", "Te"],
  "fractional_positions": [[0.114, 0.886, 0.500], [0.129, 0.871, 0.121], [0.871, 0.129, 0.621], [0.886, 0.114, 0.000], [0.204, 0.796, 0.823], [0.796, 0.204, 0.323], [0.440, 0.560, 0.273], [0.560, 0.440, 0.773], [0.046, 0.954, 0.884], [0.289, 0.711, 0.481], [0.311, 0.689, 0.163], [0.364, 0.636, 0.814], [0.499, 0.501, 0.591], [0.501, 0.499, 0.091], [0.636, 0.364, 0.314], [0.689, 0.311, 0.663], [0.711, 0.289, 0.981], [0.954, 0.046, 0.384]]
}


{
  "formula": "AcPuThMg",
  "functional": "PBE",
  "state": "relaxed",
  "crystal_system": "cubic",
  "energy_ev_per_atom": -6.654,
  "magmom_total_mub_per_fu": 6.77,
  "formation_energy_kcal_per_mol_atoms": 4.8,
  "vol_a3_per_fu": 125.7,
  "cell": [[0.000, 3.976, 3.976], [3.976, 0.000, 3.976], [3.976, 3.976, 0.000]],
  "species": ["Ac", "Pu", "Th", "Mg"],
  "fractional_positions": [[0.000, 0.000, 0.000], [0.250, 0.250, 0.250], [0.500, 0.500, 0.500], [0.750, 0.750, 0.750]]
}


{
  "formula": "AcTmPuMg",
  "functional": "PBE",
  "state": "relaxed",
  "crystal_system": "cubic",
  "energy_ev_per_atom": -5.923,
  "magmom_total_mub_per_fu": 6.29,
  "formation_energy_kcal_per_mol_atoms": 4.7,
  "vol_a3_per_fu": 126.7,
  "cell": [[0.000, 3.987, 3.987], [3.987, 0.000, 3.987], [3.987, 3.987, 0.000]],
  "species": ["Ac", "Tm", "Pu", "Mg"],
  "fractional_positions": [[0.000, 0.000, 0.000], [0.500, 0.500, 0.500], [0.750, 0.750, 0.750], [0.250, 0.250, 0.250]]
}


{
  "formula": "AcYPuMg",
  "functional": "PBE",
  "state": "relaxed",
  "crystal_system": "cubic",
  "energy_ev_per_atom": -6.433,
  "magmom_total_mub_per_fu": 6.36,
  "formation_energy_kcal_per_mol_atoms": 4.4,
  "vol_a3_per_fu": 129.2,
  "cell": [[0.000, 4.013, 4.013], [4.013, 0.000, 4.013], [4.013, 4.013, 0.000]],
  "species": ["Ac", "Y", "Pu", "Mg"],
  "fractional_positions": [[0.000, 0.000, 0.000], [0.500, 0.500, 0.500], [0.750, 0.750, 0.750], [0.250, 0.250, 0.250]]
}


{
  "formula": "Rb3Ac2MgS6",
  "functional": "PBE",
  "state": "relaxed",
  "crystal_system": "monoclinic",
  "raw_formation_energy_mev_per_atom": -1495,
  "energy_ev_per_atom": -4.618,
  "magmom_total_mub_per_fu": 0.90,
  "vol_a3_per_fu": 370.1,
  "cell": [[3.704, -6.426, 0.000], [3.704, 6.426, 0.000], [-2.472, 0.000, 7.775]],
  "species": ["Rb", "Rb", "Rb", "Ac", "Ac", "Mg", "S", "S", "S", "S", "S", "S"],
  "fractional_positions": [[0.000, 0.000, 0.000], [0.334, 0.666, 0.000], [0.666, 0.334, 0.000], [0.167, 0.833, 0.500], [0.833, 0.167, 0.500], [0.500, 0.500, 0.500], [0.123, 0.434, 0.301], [0.256, 0.256, 0.697], [0.434, 0.123, 0.301], [0.566, 0.877, 0.699], [0.744, 0.744, 0.303], [0.877, 0.566, 0.699]]
}